[1]
GGA-PBE UAg3Cl8, relaxed; crystal system = orthorhombic; SG = C222; ΔE_f (raw) = -1.02 eV per atom
1.0
4.4397 -4.4989 0.0000
4.4397 4.4989 0.0000
0.0000 0.0000 9.2530
U Ag Cl
1 3 8
Direct
0.0000 0.0000 0.0000
0.0000 0.0000 0.5000
0.0000 0.5000 0.3546
0.5000 0.0000 0.6454
0.2000 0.2081 0.1984
0.2081 0.2000 0.8016
0.2686 0.7314 0.5000
0.2759 0.7241 0.0000
0.7241 0.2759 0.0000
0.7314 0.2686 0.5000
0.7919 0.8000 0.8016
0.8000 0.7919 0.1984


[2]
GGA-PBE UAg5Cl12, relaxed; crystal system = triclinic; SG = P-1; D(E_F) = 14.31 states/eV per cell; ΔE_f (raw) = -0.81 eV per atom
1.0
6.6118 0.0000 0.0000
-2.7393 6.1728 0.0000
-2.7678 -1.3759 12.5628
U Ag Cl
1 5 12
Direct
0.0000 0.0000 0.0000
0.1681 0.3329 0.5073
0.2424 0.9971 0.7433
0.5000 0.0000 0.5000
0.7576 0.0029 0.2567
0.8319 0.6671 0.4927
0.0330 0.3189 0.1136
0.1424 0.0160 0.3795
0.1815 0.6604 0.6211
0.2500 0.2692 0.8921
0.3530 0.0042 0.1227
0.4912 0.7052 0.3752
0.5088 0.2948 0.6248
0.6470 0.9958 0.8773
0.7500 0.7308 0.1079
0.8185 0.3396 0.3789
0.8576 0.9840 0.6205
0.9670 0.6811 0.8864


[3]
GGA-PBE UAgCl6, relaxed; crystal system = monoclinic; SG = C2/m; ΔE_f (raw) = -1.35 eV per atom
1.0
3.3527 -6.1936 0.0000
3.3527 6.1936 0.0000
-2.4589 0.0000 6.1723
U Ag Cl
1 1 6
Direct
0.0000 0.0000 0.0000
0.5000 0.5000 0.5000
0.0872 0.3843 0.2409
0.2297 0.2297 0.7750
0.3843 0.0872 0.2409
0.6157 0.9128 0.7591
0.7703 0.7703 0.2250
0.9128 0.6157 0.7591


[4]
GGA-PBE UAgCl5, relaxed; crystal system = monoclinic; SG = P2_1/c; D(E_F) = 12.93 states/eV per cell; ΔE_f (raw) = -1.34 eV per atom
1.0
7.1785 0.0000 0.0000
0.0000 13.3832 0.0000
-3.6284 0.0000 9.7909
U Ag Cl
4 4 20
Direct
0.0535 0.2449 0.1429
0.0535 0.2551 0.6429
0.9465 0.7449 0.3571
0.9465 0.7551 0.8571
0.3569 0.5417 0.2193
0.3569 0.9583 0.7193
0.6431 0.0417 0.2807
0.6431 0.4583 0.7807
0.0474 0.1903 0.8891
0.0474 0.3097 0.3891
0.1678 0.6043 0.9689
0.1678 0.8957 0.4689
0.2645 0.6344 0.4018
0.2645 0.8656 0.9018
0.2708 0.0919 0.2485
0.2708 0.4081 0.7485
0.3744 0.1490 0.6872
0.3744 0.3510 0.1872
0.6256 0.6490 0.8128
0.6256 0.8510 0.3128
0.7292 0.5919 0.2515
0.7292 0.9081 0.7515
0.7355 0.1344 0.0982
0.7355 0.3656 0.5982
0.8322 0.1043 0.5311
0.8322 0.3957 0.0311
0.9526 0.6903 0.6109
0.9526 0.8097 0.1109